[1]
# PBE-GGA CdI2N2, relaxed
data_CdI2N2
_chemical_formula_sum 'Cd1 I2 N2'
_symmetry_space_group_name_H-M 'P 1'
_symmetry_Int_Tables_number 1
_cell_length_a 5.297
_cell_length_b 5.297
_cell_length_c 3.791
_cell_angle_alpha 90.00
_cell_angle_beta 90.00
_cell_angle_gamma 90.00
loop_
_symmetry_equiv_pos_as_xyz
'x,y,z'
loop_
_atom_site_label
_atom_site_type_symbol
_atom_site_fract_x
_atom_site_fract_y
_atom_site_fract_z
I1 I 0.500 0.000 0.000
Cd1 Cd 0.500 0.500 0.500
N1 N 0.000 0.000 0.500
N2 N 0.000 0.000 0.000
I2 I 0.000 0.500 0.000
# Distance to the lowest polymorph of the same formula = 9.69 eV per formula unit
# Theoretical density = 6.155 g/cm³
# VASP energy = -2.54 eV per atom
# N(E_F) = 0.3371 states/eV/atom
# Magnetic moment = 2.1 μB per cell

***

[2]
# PBE-GGA CdI2N2, relaxed
data_CdI2N2
_chemical_formula_sum 'Cd1 I2 N2'
_symmetry_space_group_name_H-M 'P 1'
_symmetry_Int_Tables_number 1
_cell_length_a 4.224
_cell_length_b 4.224
_cell_length_c 8.002
_cell_angle_alpha 90.00
_cell_angle_beta 90.00
_cell_angle_gamma 90.00
loop_
_symmetry_equiv_pos_as_xyz
'x,y,z'
loop_
_atom_site_label
_atom_site_type_symbol
_atom_site_fract_x
_atom_site_fract_y
_atom_site_fract_z
Cd1 Cd 0.500 0.500 0.500
I1 I 0.000 0.000 0.500
I2 I 0.000 0.000 0.000
N1 N 0.000 0.500 0.000
N2 N 0.500 0.000 0.000
# Distance to the lowest polymorph of the same formula = 9.55 eV per formula unit
# Theoretical density = 4.586 g/cm³
# VASP energy = -2.57 eV per atom
# N(E_F) = 0.5144 states/eV/atom
# Magnetic moment = 1.2 μB per cell

***

[3]
# PBE-GGA NaCdIN2, relaxed
data_NaCdIN2
_chemical_formula_sum 'Na1 Cd1 I1 N2'
_symmetry_space_group_name_H-M 'P 1'
_symmetry_Int_Tables_number 1
_cell_length_a 4.668
_cell_length_b 4.668
_cell_length_c 6.526
_cell_angle_alpha 90.00
_cell_angle_beta 90.00
_cell_angle_gamma 90.00
loop_
_symmetry_equiv_pos_as_xyz
'x,y,z'
loop_
_atom_site_label
_atom_site_type_symbol
_atom_site_fract_x
_atom_site_fract_y
_atom_site_fract_z
Na1 Na 0.000 0.000 0.000
N1 N 0.500 0.000 0.000
I1 I 0.000 0.000 0.500
N2 N 0.000 0.500 0.000
Cd1 Cd 0.500 0.500 0.500
# Distance to the lowest polymorph of the same formula = 2.59 eV per formula unit
# Theoretical density = 3.391 g/cm³
# VASP energy = -2.52 eV per atom
# N(E_F) = 0.5452 states/eV/atom
# Magnetic moment = 4.9 μB per cell

***

[4]
# PBE-GGA NaCdI2N, relaxed
data_NaCdI2N
_chemical_formula_sum 'Na1 Cd1 I2 N1'
_symmetry_space_group_name_H-M 'P 1'
_symmetry_Int_Tables_number 1
_cell_length_a 5.985
_cell_length_b 5.985
_cell_length_c 4.571
_cell_angle_alpha 90.00
_cell_angle_beta 90.00
_cell_angle_gamma 90.00
loop_
_symmetry_equiv_pos_as_xyz
'x,y,z'
loop_
_atom_site_label
_atom_site_type_symbol
_atom_site_fract_x
_atom_site_fract_y
_atom_site_fract_z
I1 I 0.500 0.000 0.000
I2 I 0.000 0.500 0.000
N1 N 0.000 0.000 0.500
Na1 Na 0.000 0.000 0.000
Cd1 Cd 0.500 0.500 0.500
# Distance to the lowest polymorph of the same formula = 2.43 eV per formula unit
# Theoretical density = 4.090 g/cm³
# VASP energy = -2.11 eV per atom
# N(E_F) = 0.5224 states/eV/atom
# Magnetic moment = 2.8 μB per cell